## AcHfZn (PBE)

Data for a relaxed AcHfZn crystal.

Computed properties:
- size of the total moment (μB per cell) = 1.43
- calculated formation energy (kcal/mol of atoms) = 25.6
- polymorph energy (0 for the lowest one) (eV per atom) = 0.674
- SG = No. 216

a = 7.2935 Å, b = 7.2935 Å, c = 7.2935 Å
α = 90.00°, β = 90.00°, γ = 90.00°
Sites, in units of the cell vectors:
1 Ac 0.0000 0.0000 0.0000
2 Ac 0.0000 0.5000 0.5000
3 Ac 0.5000 0.0000 0.5000
4 Ac 0.5000 0.5000 0.0000
5 Hf 0.2500 0.2500 0.7500
6 Hf 0.2500 0.7500 0.2500
7 Hf 0.7500 0.2500 0.2500
8 Hf 0.7500 0.7500 0.7500
9 Zn 0.2500 0.2500 0.2500
10 Zn 0.2500 0.7500 0.7500
11 Zn 0.7500 0.2500 0.7500
12 Zn 0.7500 0.7500 0.2500

## Dy3Mg3In2Au (PBE)

Data for a relaxed Dy3Mg3In2Au crystal.

Computed properties:
- size of the total moment (μB per cell) = 0.00
- final energy (eV per atom) = -3.53
- SG = No. 189

a = 7.5210 Å, b = 7.5210 Å, c = 4.5085 Å
α = 90.00°, β = 90.00°, γ = 120.00°
Sites, in units of the cell vectors:
1 Dy 0.0000 0.5915 0.0000
2 Dy 0.4085 0.4085 0.0000
3 Dy 0.5915 0.0000 0.0000
4 Mg 0.0000 0.2363 0.5000
5 Mg 0.2363 0.0000 0.5000
6 Mg 0.7637 0.7637 0.5000
7 In 0.3333 0.6667 0.5000
8 In 0.6667 0.3333 0.5000
9 Au 0.0000 0.0000 0.0000

## ZnAgTeO (PBE)

Data for a relaxed ZnAgTeO crystal.

Computed properties:
- polymorph energy (0 for the lowest one) (eV per atom) = 0.313
- SG = No. 186

a = 3.8234 Å, b = 3.8234 Å, c = 12.3536 Å
α = 90.00°, β = 90.00°, γ = 120.00°
Sites, in units of the cell vectors:
1 Zn 0.0000 0.0000 0.0000
2 Zn 0.0000 0.0000 0.5000
3 Ag 0.3333 0.6667 0.2862
4 Ag 0.6667 0.3333 0.7862
5 Te 0.3333 0.6667 0.6297
6 Te 0.6667 0.3333 0.1297
7 O 0.0000 0.0000 0.3506
8 O 0.0000 0.0000 0.8506

## FeReBiPd (PBE)

Data for a relaxed FeReBiPd crystal.

Computed properties:
- size of the total moment (μB per cell) = 11.09
- polymorph energy (0 for the lowest one) (eV per atom) = 0.000
- SG = No. 216

a = 6.4363 Å, b = 6.4363 Å, c = 6.4363 Å
α = 90.00°, β = 90.00°, γ = 90.00°
Sites, in units of the cell vectors:
1 Fe 0.0000 0.0000 0.0000
2 Fe 0.0000 0.5000 0.5000
3 Fe 0.5000 0.0000 0.5000
4 Fe 0.5000 0.5000 0.0000
5 Re 0.0000 0.0000 0.5000
6 Re 0.0000 0.5000 0.0000
7 Re 0.5000 0.0000 0.0000
8 Re 0.5000 0.5000 0.5000
9 Bi 0.2500 0.2500 0.7500
10 Bi 0.2500 0.7500 0.2500
11 Bi 0.7500 0.2500 0.2500
12 Bi 0.7500 0.7500 0.7500
13 Pd 0.2500 0.2500 0.2500
14 Pd 0.2500 0.7500 0.7500
15 Pd 0.7500 0.2500 0.7500
16 Pd 0.7500 0.7500 0.2500

## La3SiAgSe7 (PBE)

Data for a relaxed La3SiAgSe7 crystal.

Computed properties:
- size of the total moment (μB per cell) = 0.00
- final energy (eV per atom) = -5.40
- SG = No. 173

a = 10.8723 Å, b = 10.8723 Å, c = 6.1286 Å
α = 90.00°, β = 90.00°, γ = 120.00°
Sites, in units of the cell vectors:
1 La 0.1268 0.3577 0.0000
2 La 0.2310 0.8732 0.0000
3 La 0.3577 0.2310 0.5000
4 La 0.6423 0.7690 0.0000
5 La 0.7690 0.1268 0.5000
6 La 0.8732 0.6423 0.5000
7 Si 0.3333 0.6667 0.4110
8 Si 0.6667 0.3333 0.9110
9 Ag 0.0000 0.0000 0.0714
10 Ag 0.0000 0.0000 0.5714
11 Se 0.0948 0.2683 0.5177
12 Se 0.1099 0.5864 0.2640
13 Se 0.1735 0.9052 0.5177
14 Se 0.2683 0.1735 0.0177
15 Se 0.3333 0.6667 0.7822
16 Se 0.4136 0.5234 0.2640
17 Se 0.4766 0.8901 0.2640
18 Se 0.5234 0.1099 0.7640
19 Se 0.5864 0.4766 0.7640
20 Se 0.6667 0.3333 0.2822
21 Se 0.7317 0.8265 0.5177
22 Se 0.8265 0.0948 0.0177
23 Se 0.8901 0.4136 0.7640
24 Se 0.9052 0.7317 0.0177

## Mg2NbPb (PBE)

Data for a relaxed Mg2NbPb crystal.

Computed properties:
- size of the total moment (μB per cell) = 9.57
- final energy (eV per atom) = -3.80
- SG = No. 216

a = 7.0601 Å, b = 7.0601 Å, c = 7.0601 Å
α = 90.00°, β = 90.00°, γ = 90.00°
Sites, in units of the cell vectors:
1 Mg 0.0000 0.0000 0.0000
2 Mg 0.0000 0.5000 0.5000
3 Mg 0.2500 0.2500 0.2500
4 Mg 0.2500 0.7500 0.7500
5 Mg 0.5000 0.0000 0.5000
6 Mg 0.5000 0.5000 0.0000
7 Mg 0.7500 0.2500 0.7500
8 Mg 0.7500 0.7500 0.2500
9 Nb 0.2500 0.2500 0.7500
10 Nb 0.2500 0.7500 0.2500
11 Nb 0.7500 0.2500 0.2500
12 Nb 0.7500 0.7500 0.7500
13 Pb 0.0000 0.0000 0.5000
14 Pb 0.0000 0.5000 0.0000
15 Pb 0.5000 0.0000 0.0000
16 Pb 0.5000 0.5000 0.5000

## Ba2GdOsS6 (PBE)

Data for a relaxed Ba2GdOsS6 crystal.

Computed properties:
- size of the total moment (μB per cell) = 2.42
- final energy (eV per atom) = -5.73
- SG = No. 2

a = 6.9852 Å, b = 7.0025 Å, c = 7.0369 Å
α = 61.49°, β = 60.92°, γ = 60.56°
Sites, in units of the cell vectors:
1 Ba 0.2500 0.2475 0.2544
2 Ba 0.7500 0.7525 0.7456
3 Gd 0.0000 0.0000 0.0000
4 Os 0.5000 0.5000 0.5000
5 S 0.2227 0.7593 0.3079
6 S 0.2723 0.6726 0.7957
7 S 0.3002 0.2300 0.7085
8 S 0.6998 0.7700 0.2915
9 S 0.7277 0.3274 0.2043
10 S 0.7773 0.2407 0.6921

## Dy3Ga5Ni (PBE)

Data for a relaxed Dy3Ga5Ni crystal.

Computed properties:
- size of the total moment (μB per cell) = 0.00
- final energy (eV per atom) = -4.51
- SG = No. 189

a = 6.8746 Å, b = 6.8746 Å, c = 4.2142 Å
α = 90.00°, β = 90.00°, γ = 120.00°
Sites, in units of the cell vectors:
1 Dy 0.0000 0.5942 0.0000
2 Dy 0.4058 0.4058 0.0000
3 Dy 0.5942 0.0000 0.0000
4 Ga 0.0000 0.2346 0.5000
5 Ga 0.2346 0.0000 0.5000
6 Ga 0.3333 0.6667 0.5000
7 Ga 0.6667 0.3333 0.5000
8 Ga 0.7654 0.7654 0.5000
9 Ni 0.0000 0.0000 0.0000

## DyTm2Cd3Ga3 (PBE)

Data for a relaxed DyTm2Cd3Ga3 crystal.

Computed properties:
- size of the total moment (μB per cell) = 0.00
- final energy (eV per atom) = -3.32
- SG = No. 38

a = 4.3764 Å, b = 7.2066 Å, c = 7.2066 Å
α = 120.18°, β = 90.00°, γ = 90.00°
Sites, in units of the cell vectors:
1 Dy 0.0000 0.0000 0.0000
2 Tm 0.0000 0.1483 0.5742
3 Tm 0.0000 0.5742 0.1483
4 Cd 0.5000 0.3243 0.3243
5 Cd 0.5000 0.5737 0.8232
6 Cd 0.5000 0.8232 0.5737
7 Ga 0.0000 0.5719 0.5719
8 Ga 0.5000 0.2417 0.9064
9 Ga 0.5000 0.9064 0.2417

## NaAgOsS3 (PBE)

Data for a relaxed NaAgOsS3 crystal.

Computed properties:
- size of the total moment (μB per cell) = 0.02
- final energy (eV per atom) = -4.75
- SG = No. 63

a = 6.8771 Å, b = 6.8771 Å, c = 9.6227 Å
α = 90.00°, β = 90.00°, γ = 149.22°
Sites, in units of the cell vectors:
1 Na 0.2360 0.7640 0.7500
2 Na 0.7640 0.2360 0.2500
3 Ag 0.0755 0.9245 0.2500
4 Ag 0.9245 0.0755 0.7500
5 Os 0.5000 0.5000 0.0000
6 Os 0.5000 0.5000 0.5000
7 S 0.1185 0.8815 0.0103
8 S 0.1185 0.8815 0.4897
9 S 0.4322 0.5678 0.2500
10 S 0.5678 0.4322 0.7500
11 S 0.8815 0.1185 0.5103
12 S 0.8815 0.1185 0.9897

## TmFeCo (PBE)

Data for a relaxed TmFeCo crystal.

Computed properties:
- size of the total moment (μB per cell) = 13.20
- calculated formation energy (kcal/mol of atoms) = 8.0
- SG = No. 216

a = 5.9574 Å, b = 5.9574 Å, c = 5.9574 Å
α = 90.00°, β = 90.00°, γ = 90.00°
Sites, in units of the cell vectors:
1 Tm 0.0000 0.0000 0.0000
2 Tm 0.0000 0.5000 0.5000
3 Tm 0.5000 0.0000 0.5000
4 Tm 0.5000 0.5000 0.0000
5 Fe 0.2500 0.2500 0.7500
6 Fe 0.2500 0.7500 0.2500
7 Fe 0.7500 0.2500 0.2500
8 Fe 0.7500 0.7500 0.7500
9 Co 0.0000 0.0000 0.5000
10 Co 0.0000 0.5000 0.0000
11 Co 0.5000 0.0000 0.0000
12 Co 0.5000 0.5000 0.5000

## ZrBe2Ge (PBE)

Data for a relaxed ZrBe2Ge crystal.

Computed properties:
- size of the total moment (μB per cell) = 0.01
- final energy (eV per atom) = -4.87
- SG = No. 216

a = 6.1628 Å, b = 6.1628 Å, c = 6.1628 Å
α = 90.00°, β = 90.00°, γ = 90.00°
Sites, in units of the cell vectors:
1 Zr 0.0000 0.0000 0.0000
2 Zr 0.0000 0.5000 0.5000
3 Zr 0.5000 0.0000 0.5000
4 Zr 0.5000 0.5000 0.0000
5 Be 0.0000 0.0000 0.5000
6 Be 0.0000 0.5000 0.0000
7 Be 0.2500 0.2500 0.2500
8 Be 0.2500 0.7500 0.7500
9 Be 0.5000 0.0000 0.0000
10 Be 0.5000 0.5000 0.5000
11 Be 0.7500 0.2500 0.7500
12 Be 0.7500 0.7500 0.2500
13 Ge 0.2500 0.2500 0.7500
14 Ge 0.2500 0.7500 0.2500
15 Ge 0.7500 0.2500 0.2500
16 Ge 0.7500 0.7500 0.7500

## GdYTeO2 (PBE)

Data for a relaxed GdYTeO2 crystal.

Computed properties:
- size of the total moment (μB per cell) = 0.00
- polymorph energy (0 for the lowest one) (eV per atom) = 0.000
- SG = No. 107

a = 3.9368 Å, b = 3.9368 Å, c = 12.4978 Å
α = 90.00°, β = 90.00°, γ = 90.00°
Sites, in units of the cell vectors:
1 Gd 0.0000 0.0000 0.0000
2 Gd 0.5000 0.5000 0.5000
3 Y 0.0000 0.0000 0.6767
4 Y 0.5000 0.5000 0.1767
5 Te 0.0000 0.0000 0.3383
6 Te 0.5000 0.5000 0.8383
7 O 0.0000 0.5000 0.0897
8 O 0.0000 0.5000 0.5897
9 O 0.5000 0.0000 0.0897
10 O 0.5000 0.0000 0.5897

## Lu4InPC2 (PBE)

Data for a relaxed Lu4InPC2 crystal.

Computed properties:
- size of the total moment (μB per cell) = 0.55
- final energy (eV per atom) = -6.22
- SG = No. 187

a = 3.5549 Å, b = 3.5549 Å, c = 14.5049 Å
α = 90.00°, β = 90.00°, γ = 120.00°
Sites, in units of the cell vectors:
1 Lu 0.0000 0.0000 0.1303
2 Lu 0.0000 0.0000 0.8697
3 Lu 0.6667 0.3333 0.3104
4 Lu 0.6667 0.3333 0.6896
5 In 0.0000 0.0000 0.5000
6 P 0.6667 0.3333 0.0000
7 C 0.3333 0.6667 0.2267
8 C 0.3333 0.6667 0.7733

## Er2TmZn3CuAu2 (PBE)

Data for a relaxed Er2TmZn3CuAu2 crystal.

Computed properties:
- size of the total moment (μB per cell) = 0.01
- calculated formation energy (kcal/mol of atoms) = -13.7
- SG = No. 38

a = 3.9012 Å, b = 7.2414 Å, c = 7.2414 Å
α = 119.90°, β = 90.00°, γ = 90.00°
Sites, in units of the cell vectors:
1 Er 0.0000 0.2019 0.7981
2 Er 0.0000 0.7981 0.2019
3 Tm 0.0000 0.3945 0.3945
4 Zn 0.5000 0.0328 0.0328
5 Zn 0.5000 0.5635 0.7976
6 Zn 0.5000 0.7976 0.5635
7 Cu 0.0000 0.7974 0.7974
8 Au 0.5000 0.1326 0.4644
9 Au 0.5000 0.4644 0.1326

## MgCoAuS3 (PBE)

Data for a relaxed MgCoAuS3 crystal.

Computed properties:
- size of the total moment (μB per cell) = 0.21
- final energy (eV per atom) = -4.49
- SG = No. 63

a = 6.7123 Å, b = 6.7123 Å, c = 9.4523 Å
α = 90.00°, β = 90.00°, γ = 150.10°
Sites, in units of the cell vectors:
1 Mg 0.1803 0.8197 0.7500
2 Mg 0.8197 0.1803 0.2500
3 Co 0.5000 0.5000 0.0000
4 Co 0.5000 0.5000 0.5000
5 Au 0.1523 0.8477 0.2500
6 Au 0.8477 0.1523 0.7500
7 S 0.1156 0.8844 0.0100
8 S 0.1156 0.8844 0.4900
9 S 0.4561 0.5439 0.2500
10 S 0.5439 0.4561 0.7500
11 S 0.8844 0.1156 0.5100
12 S 0.8844 0.1156 0.9900

## Hf3Cu2As4Pd2 (PBE)

Data for a relaxed Hf3Cu2As4Pd2 crystal.

Computed properties:
- size of the total moment (μB per cell) = 0.00
- final energy (eV per atom) = -6.65
- SG = No. 6

a = 6.5240 Å, b = 3.8818 Å, c = 7.6800 Å
α = 90.00°, β = 90.91°, γ = 90.00°
Sites, in units of the cell vectors:
1 Hf 0.0000 0.0000 0.0000
2 Hf 0.0819 0.5000 0.3533
3 Hf 0.5024 0.0000 0.8650
4 Cu 0.1617 0.5000 0.7268
5 Cu 0.9122 0.0000 0.6145
6 As 0.2922 0.5000 0.0362
7 As 0.2999 0.0000 0.5644
8 As 0.7860 0.5000 0.7859
9 As 0.7877 0.0000 0.3184
10 Pd 0.3924 0.0000 0.2501
11 Pd 0.6964 0.5000 0.1191

## GeTePdO (PBE)

Data for a relaxed GeTePdO crystal.

Computed properties:
- polymorph energy (0 for the lowest one) (eV per atom) = 0.227
- SG = No. 29

a = 6.6243 Å, b = 7.6805 Å, c = 5.8046 Å
α = 90.00°, β = 90.00°, γ = 90.00°
Sites, in units of the cell vectors:
1 Ge 0.1004 0.1301 0.0000
2 Ge 0.3996 0.1301 0.5000
3 Ge 0.6004 0.8699 0.0000
4 Ge 0.8996 0.8699 0.5000
5 Te 0.1683 0.6095 0.6539
6 Te 0.3317 0.6095 0.1539
7 Te 0.6683 0.3905 0.6539
8 Te 0.8317 0.3905 0.1539
9 Pd 0.0543 0.2930 0.5608
10 Pd 0.4457 0.2930 0.0608
11 Pd 0.5543 0.7070 0.5608
12 Pd 0.9457 0.7070 0.0608
13 O 0.0346 0.9651 0.2334
14 O 0.4654 0.9651 0.7334
15 O 0.5346 0.0349 0.2334
16 O 0.9654 0.0349 0.7334

## PuBi (PBE)

Data for a relaxed PuBi crystal.

Computed properties:
- size of the total moment (μB per cell) = 18.74
- final energy (eV per atom) = -9.02
- SG = No. 51

a = 5.7057 Å, b = 4.7634 Å, c = 8.2353 Å
α = 90.00°, β = 90.00°, γ = 90.00°
Sites, in units of the cell vectors:
1 Pu 0.0000 0.0000 0.0000
2 Pu 0.2500 0.5000 0.0870
3 Pu 0.5000 0.0000 0.0000
4 Pu 0.7500 0.5000 0.9130
5 Bi 0.2500 0.0000 0.3614
6 Bi 0.2500 0.5000 0.7046
7 Bi 0.7500 0.0000 0.6386
8 Bi 0.7500 0.5000 0.2954

## NdHoCd2Ag4 (PBE)

Data for a relaxed NdHoCd2Ag4 crystal.

Computed properties:
- size of the total moment (μB per cell) = 0.02
- calculated formation energy (kcal/mol of atoms) = -6.6
- SG = No. 123

a = 4.9907 Å, b = 4.9907 Å, c = 7.0501 Å
α = 90.00°, β = 90.00°, γ = 90.00°
Sites, in units of the cell vectors:
1 Nd 0.0000 0.0000 0.0000
2 Ho 0.5000 0.5000 0.5000
3 Cd 0.0000 0.0000 0.5000
4 Cd 0.5000 0.5000 0.0000
5 Ag 0.0000 0.5000 0.2618
6 Ag 0.0000 0.5000 0.7382
7 Ag 0.5000 0.0000 0.2618
8 Ag 0.5000 0.0000 0.7382